# 1
TlOsCl5 | Alexandria via LeMat-Bulk | PBE-GGA | optimized geometry; total energy = -26.64 eV/f.u.; space group = C2/c, No. 15; uncorrected formation energy = -3.81 eV/f.u.
1.0
6.923 -3.843 0.000
6.923 3.843 0.000
-3.073 0.000 8.442
Tl Os Cl
2 2 10
Cartesian
4.618 3.503 6.332
6.155 -3.503 2.111
6.923 0.000 0.000
5.386 0.000 4.221
3.705 1.614 4.037
2.424 1.593 7.494
6.155 0.808 2.111
8.604 1.614 0.184
6.812 1.593 5.169
3.961 -1.593 3.273
2.169 -1.614 8.258
4.618 -0.808 6.332
8.349 -1.593 0.948
7.067 -1.614 4.405


# 2
TlOs2Cl | Alexandria via LeMat-Bulk | PBE-GGA | optimized geometry; total energy = -20.49 eV/f.u.; space group = P4/mmm, No. 123; uncorrected formation energy = 6.18 eV/f.u.
1.0
3.141 0.000 0.000
0.000 3.141 0.000
0.000 0.000 6.702
Tl Os Cl
1 2 1
Cartesian
0.000 0.000 0.000
1.571 1.571 1.897
1.571 1.571 4.805
0.000 0.000 3.351


# 3
TlOsCl2 | Alexandria via LeMat-Bulk | PBE-GGA | optimized geometry; total energy = -16.58 eV/f.u.; space group = Immm, No. 71; uncorrected formation energy = 0.71 eV/f.u.
1.0
3.155 0.000 0.000
0.000 5.403 0.000
0.000 0.000 11.699
Tl Os Cl
2 2 4
Cartesian
0.000 0.000 0.000
1.577 2.701 5.849
0.000 0.000 5.849
1.577 2.701 0.000
0.000 2.701 1.824
0.000 2.701 9.874
1.577 0.000 4.025
1.577 0.000 7.674


# 4
TlOs2Cl | Alexandria via LeMat-Bulk | PBE-GGA | optimized geometry; total energy = -21.03 eV/f.u.; space group = P4/mmm, No. 123; uncorrected formation energy = 5.64 eV/f.u.
1.0
3.667 0.000 0.000
0.000 3.667 0.000
0.000 0.000 6.733
Tl Os Cl
1 2 1
Cartesian
0.000 0.000 0.000
0.000 1.833 3.366
1.833 0.000 3.366
1.833 1.833 0.000


The following DOS(E_F) values (in states/eV/cell) correspond, in order, to the records above: 8.7; 4.2; 6.5; 5.6.
The following calculated density values (in g/cm3) correspond, in order, to the records above: 4.23; 15.58; 7.75; 11.38.